(1)
Compound: BaCd2AgPd
Source: the Alexandria database
Functional: GGA-PBE
Structure: relaxed

Geometry as POSCAR:
```
BaCd2AgPd
1.0
5.215 0.000 0.000
0.000 5.215 0.000
0.000 0.000 5.370
Pd Ba Ag Cd
1 1 1 2
Cartesian
0.000 0.000 0.000
2.607 2.607 2.685
0.000 0.000 2.685
0.000 2.607 0.000
2.607 0.000 0.000
```

Results
ρ   6.6 g/cm3
Magnetization   0.0 μB per cell
SG   No. 123
ΔE to the lowest computed polymorph   0.44 eV per formula unit
Formation energy   -0.230 eV/atom

(2)
Compound: Sm7As5P
Source: the Alexandria database
Functional: GGA-PBE
Structure: relaxed

Geometry as POSCAR:
```
Sm7As5P
1.0
-1.995 -1.264 3.422
4.936 -5.052 -1.516
16.314 11.782 13.864
Sm As P
14 10 2
Cartesian
7.566 -2.089 3.639
11.693 7.547 12.130
0.674 -1.769 2.265
18.587 7.226 13.505
11.606 2.188 7.574
7.651 3.273 8.196
4.366 0.006 2.547
14.895 5.451 13.223
12.561 3.768 11.241
6.697 1.693 4.529
3.991 -4.070 3.348
15.270 9.527 12.421
10.586 6.147 8.442
8.671 -0.686 7.326
0.003 -0.004 0.000
15.888 7.695 14.631
3.373 -2.238 1.139
5.114 2.981 6.609
14.144 2.479 9.161
8.158 5.889 6.932
9.100 1.901 6.007
10.159 3.560 9.763
17.472 4.881 11.988
1.789 0.577 3.782
5.438 -1.082 5.296
13.824 6.542 10.476
```

Results
ρ   6.9 g/cm3
Magnetization   1.5 μB per cell
SG   No. 12
Formation energy   -1.385 eV/atom

(3)
Compound: Mg2SbHRu
Source: the Alexandria database
Functional: GGA-PBE
Structure: relaxed

Geometry as POSCAR:
```
Mg2SbHRu
1.0
4.497 0.000 0.000
0.000 4.497 0.000
0.000 0.000 3.743
Sb Mg H Ru
1 2 1 1
Cartesian
2.248 2.248 1.871
0.000 2.248 0.000
2.248 0.000 0.000
0.000 0.000 0.000
0.000 0.000 1.871
```

Results
ρ   6.0 g/cm3
Magnetization   0.0 μB per cell
Uncorrected energy   -20.40 eV for the cell shown
SG   No. 123

(4)
Compound: YCdSCl2
Source: the Alexandria database
Functional: GGA-PBE
Structure: relaxed

Geometry as POSCAR:
```
YCdSCl2
1.0
5.040 0.000 0.000
0.000 5.040 0.000
0.000 0.000 5.144
Y S Cl Cd
1 1 2 1
Cartesian
2.520 2.520 2.572
0.000 0.000 2.572
0.000 2.520 0.000
2.520 0.000 0.000
0.000 0.000 0.000
```

Results
ρ   3.9 g/cm3
Magnetization   0.8 μB per cell
SG   No. 123
ΔE to the lowest computed polymorph   3.14 eV per formula unit

(5)
Compound: ErUTe2Se
Source: the Alexandria database
Functional: GGA-PBE
Structure: relaxed

Geometry as POSCAR:
```
ErUTe2Se
1.0
4.356 0.000 0.000
0.000 4.356 0.000
0.000 0.000 15.070
Er U Te Se
2 2 4 2
Cartesian
2.178 0.000 1.349
0.000 2.178 13.721
2.178 0.000 9.418
0.000 2.178 5.652
0.000 2.178 10.656
0.000 2.178 1.731
2.178 0.000 13.340
2.178 0.000 4.414
0.000 0.000 7.535
2.178 2.178 7.535
```

Results
ρ   8.6 g/cm3
Magnetization   4.8 μB per cell
Uncorrected energy   -61.40 eV for the cell shown
SG   No. 129

(6)
Compound: HfZnCdCu
Source: the Alexandria database
Functional: GGA-PBE
Structure: relaxed

Geometry as POSCAR:
```
HfZnCdCu
1.0
-4.364 1.150 -0.743
-1.702 -0.105 -4.244
-3.045 -3.209 -1.164
Zn Hf Cu Cd
1 1 1 1
Cartesian
0.000 0.000 0.000
-2.278 -0.541 -1.538
-4.556 -1.082 -3.076
-6.833 -1.622 -4.614
```

Results
ρ   10.3 g/cm3
Magnetization   0.0 μB per cell
SG   No. 216
Formation energy   -0.069 eV/atom

(7)
Compound: Sr2Be2Cu
Source: the Alexandria database
Functional: GGA-PBE
Structure: relaxed

Geometry as POSCAR:
```
Sr2Be2Cu
1.0
-3.679 -0.059 -7.809
7.799 -0.476 -3.671
-0.171 -3.636 0.108
Sr Cu Be
4 2 4
Cartesian
5.149 -0.400 -5.319
2.476 -0.379 -8.831
-1.030 -0.135 -6.161
1.643 -0.156 -2.649
0.000 0.000 0.000
2.060 -0.268 -5.740
4.157 -2.101 -2.737
4.918 -2.289 -7.866
-0.208 -2.071 -8.635
-0.970 -1.882 -3.506
```

Results
ρ   3.1 g/cm3
Magnetization   0.0 μB per cell
SG   No. 127
ΔE to the lowest computed polymorph   0.99 eV per formula unit
Formation energy   0.705 eV/atom

(8)
Compound: Pa2Si6Pt21
Source: the Alexandria database
Functional: GGA-PBE
Structure: relaxed

Geometry as POSCAR:
```
Pa2Si6Pt21
1.0
7.550 0.000 4.359
2.517 7.118 4.359
0.000 0.000 8.718
Pa Si Pt
2 6 21
Cartesian
7.550 5.339 13.077
2.517 1.780 4.359
3.839 5.248 6.650
6.228 1.870 6.650
7.422 5.248 8.718
6.228 1.870 10.787
3.839 5.248 10.787
2.645 1.870 8.718
0.000 0.000 0.000
6.206 4.388 6.687
6.206 4.388 10.749
5.033 1.072 8.718
2.688 4.388 8.718
3.861 2.730 10.749
3.861 2.730 6.687
5.033 6.047 8.718
7.379 2.730 8.718
4.931 0.000 5.871
1.644 4.649 5.871
0.000 0.000 3.024
1.644 4.649 2.847
4.931 0.000 2.847
0.000 0.000 5.694
0.873 2.469 1.512
0.873 2.469 7.206
5.804 2.469 4.359
2.619 0.000 7.206
2.619 0.000 1.512
4.263 4.649 4.359
```

Results
ρ   16.8 g/cm3
Magnetization   0.0 μB per cell
Uncorrected energy   -197.62 eV for the cell shown
SG   No. 225

(9)
Compound: BaMn2Rh
Source: the Alexandria database
Functional: GGA-PBE
Structure: relaxed

Geometry as POSCAR:
```
BaMn2Rh
1.0
-1.662 -3.597 2.276
-4.396 -0.084 1.244
-2.903 -2.865 -2.060
Mn Rh Ba
2 1 1
Cartesian
-2.240 -1.636 0.365
-6.721 -4.909 1.095
0.000 0.000 0.000
-4.481 -3.273 0.730
```

Results
ρ   8.6 g/cm3
Magnetization   0.0 μB per cell
SG   No. 225
Formation energy   1.298 eV/atom

(10)
Compound: NbSe3Br
Source: the Alexandria database
Functional: GGA-PBE
Structure: relaxed

Geometry as POSCAR:
```
NbSe3Br
1.0
-4.244 2.715 0.496
-0.695 -0.171 -5.011
-2.671 -4.269 0.517
Nb Se Br
1 3 1
Cartesian
-3.805 -0.863 -1.999
-0.348 -0.086 -2.506
-1.335 -2.135 0.258
-2.122 1.357 0.248
0.000 0.000 0.000
```

Results
ρ   5.2 g/cm3
Magnetization   2.1 μB per cell
SG   No. 221
ΔE to the lowest computed polymorph   7.71 eV per formula unit

(11)
Compound: Ac2In6Cu3
Source: the Alexandria database
Functional: GGA-PBE
Structure: relaxed

Geometry as POSCAR:
```
Ac2In6Cu3
1.0
-1.324 -3.804 1.885
-0.041 -3.734 -7.565
6.995 -0.098 4.715
Ac In Cu
2 6 3
Cartesian
2.304 -2.522 -3.472
4.650 -1.310 0.622
4.104 -4.529 -1.011
1.539 -1.933 2.426
1.407 -0.775 -0.577
-0.033 -2.979 -6.035
-0.675 -3.077 -1.437
5.580 -0.078 3.761
1.906 -3.317 -0.110
-0.688 -4.258 -3.829
3.750 -1.964 3.916
```

Results
ρ   8.1 g/cm3
Magnetization   0.0 μB per cell
SG   No. 189
Formation energy   -0.263 eV/atom